No. 1
Compound: In2GeCl4
Source: Alexandria
Functional: PBE
Structure: optimized geometry

Cell and atoms, written as POSCAR:
```
In2GeCl4
1.0
-0.568 -0.767 -5.165
-2.106 -4.720 0.933
-8.523 0.524 -1.811
Cl In Ge
4 2 1
Direct
0.000 0.500 0.000
0.169 0.169 0.662
0.500 0.000 0.000
0.831 0.831 0.338
0.644 0.644 0.712
0.356 0.356 0.288
0.000 0.000 0.000
```

## Properties
Uncorrected formation energy = -0.78 eV/atom
Total magnetization = 0.00 μB per cell
Symmetry = No. 139
Calculated total energy = -3.28 eV per atom

=====

No. 2
Compound: Y5HoGe4
Source: Alexandria
Functional: PBE
Structure: optimized geometry

Cell and atoms, written as POSCAR:
```
Y5HoGe4
1.0
4.325 0.000 0.000
0.000 7.573 -1.322
-2.162 -2.436 9.102
Y Ge Ho
5 4 1
Direct
0.834 0.596 0.668
0.500 0.500 0.000
0.836 0.085 0.672
0.164 0.915 0.328
0.166 0.404 0.332
0.305 0.809 0.611
0.998 0.746 0.997
0.002 0.254 0.003
0.695 0.191 0.389
0.500 0.000 0.000
```

## Properties
Total magnetization = 1.25 μB per cell
Symmetry = No. 12
Calculated total energy = -6.16 eV per atom

=====

No. 3
Compound: Tb8PrHg2
Source: Alexandria
Functional: PBE
Structure: optimized geometry

Cell and atoms, written as POSCAR:
```
Tb8PrHg2
1.0
-0.217 5.173 2.143
-5.781 0.745 -6.438
-2.087 -4.674 7.016
Tb Hg Pr
8 2 1
Direct
0.500 0.773 0.227
0.297 0.597 0.597
0.892 0.908 0.679
0.892 0.679 0.908
0.703 0.403 0.403
0.108 0.321 0.092
0.500 0.227 0.773
0.108 0.092 0.321
0.000 0.694 0.306
0.000 0.306 0.694
0.500 0.000 0.000
```

## Properties
Total magnetization = 0.00 μB per cell
Symmetry = No. 12
Calculated total energy = -3.91 eV per atom

=====

No. 4
Compound: ZnFeGe3
Source: Alexandria
Functional: PBE
Structure: optimized geometry

Cell and atoms, written as POSCAR:
```
ZnFeGe3
1.0
-1.482 4.462 1.021
-3.219 -1.780 3.101
3.253 0.272 3.534
Ge Zn Fe
3 1 1
Direct
0.000 0.500 0.000
0.500 0.000 0.000
0.000 0.000 0.500
0.000 0.000 0.000
0.500 0.500 0.500
```

## Properties
Total magnetization = 0.12 μB per cell
Symmetry = No. 221
Calculated total energy = -3.43 eV per atom
Energy relative to the lowest polymorph listed for this composition = 23.83 kcal/mol of atoms

=====

Please write out number 2 again, unchanged.
Compound: Y5HoGe4
Source: Alexandria
Functional: PBE
Structure: optimized geometry

Cell and atoms, written as POSCAR:
```
Y5HoGe4
1.0
4.325 0.000 0.000
0.000 7.573 -1.322
-2.162 -2.436 9.102
Y Ge Ho
5 4 1
Direct
0.834 0.596 0.668
0.500 0.500 0.000
0.836 0.085 0.672
0.164 0.915 0.328
0.166 0.404 0.332
0.305 0.809 0.611
0.998 0.746 0.997
0.002 0.254 0.003
0.695 0.191 0.389
0.500 0.000 0.000
```

## Properties
Total magnetization = 1.25 μB per cell
Symmetry = No. 12
Calculated total energy = -6.16 eV per atom

=====

total magnetization of number 2 (Y5HoGe4)?
1.25 μB per cell